This record from Alexandria describes an optimized crystal structure of Ta2Be. The functional is GGA-PBEsol.

DOS at the Fermi energy: 3.244 states/eV per cell
E_form: 91 meV per atom
Symmetry: Cmcm

a = 6.3377 Å, b = 6.3377 Å, c = 4.2701 Å
α = 90.00°, β = 90.00°, γ = 148.57°
With the nearest neighbours (Å) after each atom.
Positions (direct):
Ta1 0.0723 0.9277 0.7500  6 Be 2.64-2.75, 4 Ta 2.77-2.80
Ta2 0.2465 0.7535 0.2500  2 Be 2.55, 6 Ta 2.74-2.80
Ta3 0.7535 0.2465 0.7500  2 Be 2.55, 6 Ta 2.74-2.80
Ta4 0.9277 0.0723 0.2500  6 Be 2.64-2.75, 4 Ta 2.77-2.80
Be1 0.4080 0.5920 0.7500  8 Ta 2.55-2.75
Be2 0.5920 0.4080 0.2500  8 Ta 2.55-2.75

=====

This record from Alexandria describes an optimized crystal structure of TaBe. The functional is GGA-PBEsol.

DOS at the Fermi energy: 2.948 states/eV per cell
E_form: -158 meV per atom
Symmetry: Cmcm

a = 4.8406 Å, b = 4.8406 Å, c = 3.3631 Å
α = 90.00°, β = 90.00°, γ = 139.32°
With the nearest neighbours (Å) after each atom.
Positions (direct):
Ta1 0.1501 0.8499 0.7500  7 Be 2.50-2.59
Ta2 0.8499 0.1501 0.2500  7 Be 2.50-2.59
Be1 0.4333 0.5667 0.7500  2 Be 2.07
Be2 0.5667 0.4333 0.2500  2 Be 2.07

=====

This record from Alexandria describes an optimized crystal structure of Ta2Be. The functional is GGA-PBEsol.

DOS at the Fermi energy: 2.416 states/eV per cell
E_form: 534 meV per atom
Symmetry: P6/mmm

a = 4.4890 Å, b = 4.4890 Å, c = 2.7133 Å
α = 90.00°, β = 90.00°, γ = 120.00°
With the nearest neighbours (Å) after each atom.
Positions (direct):
Ta1 0.3333 0.6667 0.0000  5 Ta 2.59-2.71
Ta2 0.6667 0.3333 0.0000  5 Ta 2.59-2.71
Be1 0.0000 0.0000 0.5000  2 Be 2.71, 12 Ta 2.93

=====

This record from Alexandria describes an optimized crystal structure of Ta3Be. The functional is GGA-PBEsol.

DOS at the Fermi energy: 4.029 states/eV per cell
E_form: 209 meV per atom
Symmetry: I4/mmm

a = 4.9675 Å, b = 4.9675 Å, c = 4.9675 Å
α = 133.12°, β = 133.12°, γ = 68.46°
With the nearest neighbours (Å) after each atom.
Positions (direct):
Ta1 0.0000 0.0000 0.0000  4 Be 2.79, 8 Ta 2.85
Ta2 0.2500 0.7500 0.5000  8 Ta 2.79-2.85, 4 Be 2.85
Ta3 0.7500 0.2500 0.5000  8 Ta 2.79-2.85, 4 Be 2.85
Be1 0.5000 0.5000 0.0000  12 Ta 2.79-2.85

=====

This record from Alexandria describes an optimized crystal structure of Ta2Be. The functional is GGA-PBEsol.

DOS at the Fermi energy: 2.306 states/eV per cell
E_form: 66 meV per atom
Symmetry: I4/mmm

a = 6.1787 Å, b = 6.1787 Å, c = 6.1787 Å
α = 154.27°, β = 154.27°, γ = 36.71°
With the nearest neighbours (Å) after each atom.
Positions (direct):
Ta1 0.1462 0.1462 0.0000  4 Be 2.59, 4 Ta 2.75
Ta2 0.8538 0.8538 0.0000  4 Be 2.59, 4 Ta 2.75
Be1 0.5000 0.5000 0.0000  8 Ta 2.59, 4 Be 2.75

=====

This record from Alexandria describes an optimized crystal structure of Ta3Be2. The functional is GGA-PBEsol.

DOS at the Fermi energy: 9.211 states/eV per cell
E_form: -164 meV per atom
Symmetry: P4/mbm

a = 6.4555 Å, b = 6.4555 Å, c = 3.3171 Å
α = 90.00°, β = 90.00°, γ = 90.00°
With the nearest neighbours (Å) after each atom.
Positions (direct):
Ta1 0.0000 0.0000 0.0000  4 Be 2.60, 8 Ta 2.90
Ta2 0.1788 0.3212 0.5000  6 Be 2.51-2.55
Ta3 0.3212 0.8212 0.5000  6 Be 2.51-2.55
Ta4 0.5000 0.5000 0.0000  4 Be 2.60, 8 Ta 2.90
Ta5 0.6788 0.1788 0.5000  6 Be 2.51-2.55
Ta6 0.8212 0.6788 0.5000  6 Be 2.51-2.55
Be1 0.1142 0.6142 0.0000  1 Be 2.09
Be2 0.3858 0.1142 0.0000  1 Be 2.09
Be3 0.6142 0.8858 0.0000  1 Be 2.09
Be4 0.8858 0.3858 0.0000  1 Be 2.09

=====

This record from Alexandria describes an optimized crystal structure of Ta3Be. The functional is GGA-PBEsol.

DOS at the Fermi energy: 2.563 states/eV per cell
E_form: 194 meV per atom
Symmetry: C2/m

a = 4.8579 Å, b = 4.8579 Å, c = 4.8503 Å
α = 102.51°, β = 102.51°, γ = 34.99°
With the nearest neighbours (Å) after each atom.
Positions (direct):
Ta1 0.0000 0.0000 0.0000  8 Ta 2.75-2.93, 4 Be 2.83
Ta2 0.2307 0.2307 0.7285  2 Be 2.62, 5 Ta 2.74-2.92
Ta3 0.7693 0.7693 0.2715  2 Be 2.62, 5 Ta 2.74-2.92
Be1 0.5000 0.5000 0.5000  8 Ta 2.62-2.83, 2 Be 2.92

=====

This record from Alexandria describes an optimized crystal structure of Ta2Be2Tc. The functional is GGA-PBEsol.

DOS at the Fermi energy: 3.907 states/eV per cell
E_form: -358 meV per atom
Symmetry: P4/mbm

a = 6.2673 Å, b = 6.2673 Å, c = 3.2597 Å
α = 90.00°, β = 90.00°, γ = 90.00°
With the nearest neighbours (Å) after each atom.
Positions (direct):
Ta1 0.1784 0.3216 0.0000  6 Be 2.43-2.50
Ta2 0.3216 0.8216 0.0000  6 Be 2.43-2.50
Ta3 0.6784 0.1784 0.0000  6 Be 2.43-2.50
Ta4 0.8216 0.6784 0.0000  6 Be 2.43-2.50
Be1 0.1179 0.6179 0.5000  1 Be 2.09
Be2 0.3821 0.1179 0.5000  1 Be 2.09
Be3 0.6179 0.8821 0.5000  1 Be 2.09
Be4 0.8821 0.3821 0.5000  1 Be 2.09
Tc1 0.0000 0.0000 0.5000  4 Be 2.51
Tc2 0.5000 0.5000 0.5000  4 Be 2.51

=====

Looking at energy for the records above, in order, we have -9.610, -8.434, -9.167, -10.204, -9.635, -9.295, -10.219, -9.232 eV per atom.